(1)
First-principles (PBE) data for an optimized crystal structure of TeWSe2, as listed in Alexandria.

Results
The calculation puts the total energy at -5.01 eV/atom. The space group is Fmmm (69). As for the formation energy (no corrections): 760 meV/atom. The crystal system is orthorhombic.

Structure (extended XYZ):
```
4
Lattice="4.843 0.161 0.373 -1.811 4.511 0.398 1.221 1.859 4.320" Properties=species:S:1:pos:R:3 pbc="T T T"
Se 0.000 0.000 0.000
Se 3.032 1.010 2.347
Te -0.295 3.185 2.359
W 1.516 2.336 0.385
```

***

(2)
First-principles (PBE) data for an optimized crystal structure of Ca5CuAg2, as listed in Alexandria.

Results
The calculation puts the total energy at -2.66 eV/atom. The space group is Pbam (55). The crystal system is orthorhombic. Its formation energy is -0.18 eV/atom.

Structure (extended XYZ):
```
16
Lattice="-3.224 -2.836 1.415 4.177 -1.232 7.050 -6.210 9.747 5.382" Properties=species:S:1:pos:R:3 pbc="T T T"
Ca -3.105 4.874 2.691
Ca 2.089 -0.616 3.525
Ca 2.268 0.930 7.031
Ca -4.301 7.586 5.401
Ca -1.615 6.033 8.409
Ca -0.418 2.483 4.024
Ca -1.354 1.799 7.741
Ca -3.903 3.881 6.106
Ca -3.875 6.501 11.418
Ca -1.382 -0.821 2.429
Cu -1.016 4.258 6.216
Cu 0.000 0.000 0.000
Ag -0.352 -0.441 5.537
Ag -4.905 6.121 8.311
Ag -1.827 3.952 10.978
Ag -3.430 1.728 2.869
```

***

(3)
First-principles (PBE) data for an optimized crystal structure of SrLaAl, as listed in Alexandria.

Results
The calculation puts the total energy at -3.51 eV/atom. The space group is P1 (1). The crystal system is triclinic. Its formation energy is -0.06 eV/atom.

Structure (extended XYZ):
```
6
Lattice="-3.013 4.866 2.600 -1.098 -2.027 -6.415 -5.051 -2.830 1.752" Properties=species:S:1:pos:R:3 pbc="T T T"
Sr -5.557 -1.819 -3.997
Sr -6.884 -0.349 -0.606
Al -4.103 -2.418 -0.438
Al -3.870 0.227 -1.303
La -1.750 -1.661 -2.695
La -4.264 4.100 2.773
```

***

(4)
First-principles (PBE) data for an optimized crystal structure of TbPr2Cu4, as listed in Alexandria.

Results
The calculation puts the total energy at -4.35 eV/atom. The space group is I4/mmm (139). The crystal system is tetragonal. Its formation energy is 0.02 eV/atom.

Structure (extended XYZ):
```
7
Lattice="4.947 0.000 -1.577 -0.502 4.921 -1.577 -0.487 -0.540 7.019" Properties=species:S:1:pos:R:3 pbc="T T T"
Pr 2.942 3.258 0.681
Pr 1.015 1.124 3.184
Tb 0.000 0.000 0.000
Cu 1.116 3.974 3.499
Cu 3.840 1.514 3.499
Cu 2.841 0.408 0.366
Cu 0.117 2.868 0.366
```

***

(5)
First-principles (PBE) data for an optimized crystal structure of Si2HgSbTe, as listed in Alexandria.

Results
The calculation puts the total energy at -2.66 eV/atom. The space group is P4/mmm (123). As for the formation energy (no corrections): 1024 meV/atom. The crystal system is tetragonal.

Structure (extended XYZ):
```
5
Lattice="4.986 0.000 0.000 0.000 5.796 0.000 0.000 0.000 4.986" Properties=species:S:1:pos:R:3 pbc="T T T"
Sb 2.493 2.898 2.493
Si 0.000 0.000 2.493
Si 2.493 0.000 0.000
Te 0.000 2.898 0.000
Hg 0.000 0.000 0.000
```

***

(6)
First-principles (PBE) data for an optimized crystal structure of Tb3Sc2Cd3, as listed in Alexandria.

Results
The calculation puts the total energy at -3.88 eV/atom. The space group is Immm (71). The crystal system is orthorhombic. Its formation energy is -0.22 eV/atom.

Structure (extended XYZ):
```
8
Lattice="3.642 0.000 0.000 0.000 5.280 0.000 -1.821 -2.640 10.868" Properties=species:S:1:pos:R:3 pbc="T T T"
Tb 1.821 2.640 2.756
Tb 0.000 0.000 8.112
Tb 1.821 0.000 0.000
Sc 1.821 0.000 5.140
Sc 0.000 2.640 5.728
Cd 0.000 0.000 2.711
Cd 0.000 2.640 0.000
Cd 1.821 2.640 8.157
```

***

(7)
First-principles (PBE) data for an optimized crystal structure of La3Y2Sb3, as listed in Alexandria.

Results
The calculation puts the total energy at -5.98 eV/atom. The space group is P6_3/mcm (193). As for the formation energy (no corrections): -975 meV/atom. The crystal system is hexagonal.

Structure (extended XYZ):
```
16
Lattice="6.565 0.000 0.000 0.000 8.067 -4.658 0.000 0.000 9.315" Properties=species:S:1:pos:R:3 pbc="T T T"
La 4.924 2.017 -1.165
La 4.924 6.050 3.493
La 4.924 0.000 2.329
La 1.641 6.050 -3.493
La 1.641 2.017 1.165
La 1.641 0.000 6.986
Y 0.000 2.689 4.658
Y 3.282 5.378 0.000
Y 0.000 5.378 0.000
Y 3.282 2.689 4.658
Sb 4.924 4.892 -2.825
Sb 4.924 3.175 1.833
Sb 4.924 0.000 5.649
Sb 1.641 3.175 -1.833
Sb 1.641 4.892 2.825
Sb 1.641 0.000 3.666
```

***

(8)
First-principles (PBE) data for an optimized crystal structure of YAlSe2, as listed in Alexandria.

Results
The calculation puts the total energy at -5.28 eV/atom. The space group is P2/m (10). As for the formation energy (no corrections): -983 meV/atom. The crystal system is monoclinic.

Structure (extended XYZ):
```
4
Lattice="-0.823 -3.494 -0.370 3.535 -0.791 -0.389 0.585 -0.868 6.903" Properties=species:S:1:pos:R:3 pbc="T T T"
Y 0.619 -2.162 1.444
Al 2.679 -2.992 4.700
Se 2.667 -0.613 -0.138
Se 2.929 -1.008 3.007
```

***

(9)
First-principles (PBE) data for an optimized crystal structure of ZrP2Br, as listed in Alexandria.

Results
The calculation puts the total energy at -5.82 eV/atom. The space group is Pmmm (47). As for the formation energy (no corrections): -557 meV/atom. The crystal system is orthorhombic.

Structure (extended XYZ):
```
4
Lattice="-1.229 -0.869 3.251 -0.942 -3.204 -1.212 4.806 -5.479 0.352" Properties=species:S:1:pos:R:3 pbc="T T T"
Br 2.284 -6.947 0.980
P -0.508 -3.375 -1.094
P 1.498 -4.171 -0.548
Zr 0.352 -2.605 1.410
```

***

(10)
First-principles (PBE) data for an optimized crystal structure of NaAgSbI5, as listed in Alexandria.

Results
The calculation puts the total energy at -2.45 eV/atom. The space group is C2/c (15). As for the formation energy (no corrections): -447 meV/atom. The crystal system is monoclinic.

Structure (extended XYZ):
```
16
Lattice="7.880 0.315 -0.897 -1.999 7.629 -0.897 -3.403 -4.597 13.189" Properties=species:S:1:pos:R:3 pbc="T T T"
Na -1.702 -2.299 6.595
Na 0.000 0.000 0.000
Ag 3.906 1.478 2.400
Ag -1.428 1.869 8.995
Sb 0.863 3.731 2.400
Sb 1.615 -0.384 8.995
I -1.433 5.431 2.400
I 3.911 -2.084 8.995
I -1.135 1.419 2.607
I 3.613 1.928 8.787
I 2.491 6.317 2.193
I -0.013 -2.970 9.202
I 2.742 2.818 4.659
I -0.264 0.529 6.736
I 2.285 2.200 0.141
I 0.193 1.147 11.254
```